This record from Alexandria via LeMat-Bulk describes an optimized crystal structure of ZrScOs2. The functional is GGA-PBE.

Structure (extended XYZ):
```
12
Lattice="2.941 0.000 0.000 -1.470 2.547 0.000 0.000 0.000 28.731" Properties=species:S:1:pos:R:3 pbc="T T T"
Zr 0.000 0.000 0.000
Zr 0.000 1.698 19.154
Zr 1.470 0.849 9.577
Sc 0.000 0.000 6.769
Sc 0.000 1.698 25.923
Sc 1.470 0.849 16.346
Os 0.000 0.000 14.054
Os 0.000 0.000 21.611
Os 0.000 1.698 4.477
Os 0.000 1.698 12.034
Os 1.470 0.849 2.457
Os 1.470 0.849 23.631
```

Calculated values
theoretical density	12.0	g cm⁻³
offset from the most stable computed form	0.721	eV/atom
formation energy	0.245	eV per atom
final energy	-9.09	eV/atom
space group	R3m (160)
total magnetic moment	0.0	μB per cell